# Tb2SmHoP4 GGA-PBE relaxed
data_Tb2SmHoP4
_chemical_formula_sum 'Tb2 Sm1 Ho1 P4'
_space_group_name_H-M_alt 'P 1'
_space_group_IT_number 1
_space_group_name_Hall 'P 1'
_cell_length_a 6.993
_cell_length_b 4.040
_cell_length_c 6.994
_cell_angle_alpha 90.00
_cell_angle_beta 109.46
_cell_angle_gamma 90.00
loop_
_atom_site_label
_atom_site_type_symbol
_atom_site_fract_x
_atom_site_fract_y
_atom_site_fract_z
Tb1 Tb 0.000 0.000 0.000
Tb2 Tb 0.500 0.500 0.000
Sm1 Sm 0.000 0.500 0.500
Ho1 Ho 0.500 0.000 0.500
P1 P 0.253 0.500 0.250
P2 P 0.254 0.000 0.752
P3 P 0.746 0.000 0.248
P4 P 0.747 0.500 0.750
# Formation energy in eV/atom: -1.599
# Crystal system: monoclinic



# MnNbTePt2 GGA-PBE relaxed
data_MnNbTePt2
_chemical_formula_sum 'Mn1 Nb1 Te1 Pt2'
_space_group_name_H-M_alt 'P 1'
_space_group_IT_number 1
_space_group_name_Hall 'P 1'
_cell_length_a 4.903
_cell_length_b 4.903
_cell_length_c 5.083
_cell_angle_alpha 90.00
_cell_angle_beta 90.00
_cell_angle_gamma 90.00
loop_
_atom_site_label
_atom_site_type_symbol
_atom_site_fract_x
_atom_site_fract_y
_atom_site_fract_z
Mn1 Mn 0.000 0.000 0.000
Nb1 Nb 0.500 0.500 0.000
Te1 Te 0.500 0.500 0.500
Pt1 Pt 0.000 0.500 0.500
Pt2 Pt 0.500 0.000 0.500
# Raw formation energy in eV per atom: 1.034
# Crystal system: tetragonal